(1)
Material: CrTe2Se
Method: DFT, GGA-PBE
State: relaxed

## Properties
E_form (uncorrected), meV per atom: -55

The structure in CIF format:
```
data_CrTe2Se
_chemical_formula_sum 'Cr1 Te2 Se1'
_space_group_name_H-M_alt 'P 1 2/m 1'
_space_group_IT_number 10
_space_group_name_Hall '-P 2y'
_cell_length_a 4.919
_cell_length_b 4.043
_cell_length_c 5.840
_cell_angle_alpha 90.00
_cell_angle_beta 114.74
_cell_angle_gamma 90.00
loop_
_atom_site_label
_atom_site_fract_x
_atom_site_fract_y
_atom_site_fract_z
Cr1 0.000 0.000 0.000
Te1 0.170 0.500 0.341
Se1 0.500 0.000 0.000
```

---

(2)
Material: CrTeSe2
Method: DFT, GGA-PBE
State: relaxed

## Properties
E_form (uncorrected), meV per atom: 318

The structure in CIF format:
```
data_CrTeSe2
_chemical_formula_sum 'Cr1 Te1 Se2'
_space_group_name_H-M_alt 'P 4/m m m'
_space_group_IT_number 123
_space_group_name_Hall '-P 4 2'
_cell_length_a 4.968
_cell_length_b 4.968
_cell_length_c 3.478
_cell_angle_alpha 90.00
_cell_angle_beta 90.00
_cell_angle_gamma 90.00
loop_
_atom_site_label
_atom_site_fract_x
_atom_site_fract_y
_atom_site_fract_z
Cr1 0.000 0.000 0.000
Te1 0.500 0.500 0.000
Se1 0.000 0.500 0.500
```

---

(3)
Material: Cr2Te3Se
Method: DFT, GGA-PBE
State: relaxed

## Properties
E_form (uncorrected), meV per atom: -140

The structure in CIF format:
```
data_Cr2Te3Se
_chemical_formula_sum 'Cr8 Te12 Se4'
_space_group_name_H-M_alt 'C 1 2/m 1'
_space_group_IT_number 12
_space_group_name_Hall '-C 2y'
_cell_length_a 15.779
_cell_length_b 3.906
_cell_length_c 11.021
_cell_angle_alpha 90.00
_cell_angle_beta 92.47
_cell_angle_gamma 90.00
loop_
_atom_site_label
_atom_site_fract_x
_atom_site_fract_y
_atom_site_fract_z
Cr1 0.036 0.000 0.240
Cr2 0.135 0.500 0.563
Te1 0.073 0.500 0.077
Te2 0.137 0.000 0.741
Te3 0.189 0.000 0.398
Se1 0.020 0.500 0.377
```

---

(4)
Material: Cr5Te6Se2
Method: DFT, GGA-PBE
State: relaxed

## Properties
E_form (uncorrected), meV per atom: -209

The structure in CIF format:
```
data_Cr5Te6Se2
_chemical_formula_sum 'Cr5 Te6 Se2'
_space_group_name_H-M_alt 'P 3 m 1'
_space_group_IT_number 156
_space_group_name_Hall 'P 3 -2"'
_cell_length_a 3.8401
_cell_length_b 3.8401
_cell_length_c 24.7271
_cell_angle_alpha 90.00
_cell_angle_beta 90.00
_cell_angle_gamma 120.00
loop_
_atom_site_label
_atom_site_fract_x
_atom_site_fract_y
_atom_site_fract_z
Cr1 0.0000 0.0000 0.0000
Cr2 0.0000 0.0000 0.1334
Cr3 0.0000 0.0000 0.2717
Cr4 0.0000 0.0000 0.5162
Cr5 0.0000 0.0000 0.7502
Te1 0.3333 0.6667 0.2001
Te2 0.3333 0.6667 0.4498
Te3 0.3333 0.6667 0.6872
Te4 0.3333 0.6667 0.9393
Te5 0.6667 0.3333 0.0678
Te6 0.6667 0.3333 0.8124
Se1 0.6667 0.3333 0.3194
Se2 0.6667 0.3333 0.5651
```

---

(5)
Material: CrTeSe2
Method: DFT, GGA-PBE
State: relaxed

## Properties
E_form (uncorrected), meV per atom: -85

The structure in CIF format:
```
data_CrTeSe2
_chemical_formula_sum 'Cr1 Te1 Se2'
_space_group_name_H-M_alt 'P 4/m m m'
_space_group_IT_number 123
_space_group_name_Hall '-P 4 2'
_cell_length_a 2.970
_cell_length_b 2.970
_cell_length_c 10.828
_cell_angle_alpha 90.00
_cell_angle_beta 90.00
_cell_angle_gamma 90.00
loop_
_atom_site_label
_atom_site_fract_x
_atom_site_fract_y
_atom_site_fract_z
Cr1 0.000 0.000 0.000
Te1 0.000 0.000 0.500
Se1 0.500 0.500 0.139
```

---

(6)
Material: CrTe2Se
Method: DFT, GGA-PBE
State: relaxed

## Properties
E_form (uncorrected), meV per atom: 268

The structure in CIF format:
```
data_CrTe2Se
_chemical_formula_sum 'Cr1 Te2 Se1'
_space_group_name_H-M_alt 'P 4/m m m'
_space_group_IT_number 123
_space_group_name_Hall '-P 4 2'
_cell_length_a 3.133
_cell_length_b 3.133
_cell_length_c 9.269
_cell_angle_alpha 90.00
_cell_angle_beta 90.00
_cell_angle_gamma 90.00
loop_
_atom_site_label
_atom_site_fract_x
_atom_site_fract_y
_atom_site_fract_z
Cr1 0.000 0.000 0.000
Te1 0.500 0.500 0.177
Se1 0.000 0.000 0.500
```

---

(7)
Material: CrTeSe2
Method: DFT, GGA-PBE
State: relaxed

## Properties
E_form (uncorrected), meV per atom: 77

The structure in CIF format:
```
data_CrTeSe2
_chemical_formula_sum 'Cr4 Te4 Se8'
_space_group_name_H-M_alt 'I -4 2 d'
_space_group_IT_number 122
_space_group_name_Hall 'I -4 2bw'
_cell_length_a 7.180
_cell_length_b 7.180
_cell_length_c 7.569
_cell_angle_alpha 90.00
_cell_angle_beta 90.00
_cell_angle_gamma 90.00
loop_
_atom_site_label
_atom_site_fract_x
_atom_site_fract_y
_atom_site_fract_z
Cr1 0.000 0.000 0.000
Te1 0.000 0.000 0.500
Se1 0.202 0.250 0.125
```

---

(8)
Material: CrTeSe2
Method: DFT, GGA-PBE
State: relaxed

## Properties
E_form (uncorrected), meV per atom: 13

The structure in CIF format:
```
data_CrTeSe2
_chemical_formula_sum 'Cr2 Te2 Se4'
_space_group_name_H-M_alt 'I m m 2'
_space_group_IT_number 44
_space_group_name_Hall 'I 2 -2'
_cell_length_a 3.612
_cell_length_b 4.475
_cell_length_c 11.811
_cell_angle_alpha 90.00
_cell_angle_beta 90.00
_cell_angle_gamma 90.00
loop_
_atom_site_label
_atom_site_fract_x
_atom_site_fract_y
_atom_site_fract_z
Cr1 0.000 0.000 0.000
Te1 0.000 0.500 0.320
Se1 0.000 0.000 0.470
Se2 0.000 0.500 0.647
```

---

| no. | DOS(E_F) (states/eV/cell) |
| --- | --- |
| 1 | 3.17 |
| 2 | 2.48 |
| 3 | 9.88 |
| 4 | 7.08 |
| 5 | 1.95 |
| 6 | 3.28 |
| 7 | 8.03 |
| 8 | 3.89 |